Record 1
7
Lattice="5.2412 -2.1657 0.0000 5.2412 2.1657 0.0000 -2.4857 0.0000 6.0276" Properties=species:S:1:pos:R:3 comment="Tb2Zn3Ga2 (PBE-GGA, optimized geometry)" total_magnetization_mub_per_fu=0.00 de_polymorph_mev_per_atom=0.0 n_ef_per_ev_cell=3.39 e_form_ev_per_atom=-0.47 rho_g_cm3=7.93 dft_energy_ev_per_atom=-3.206 pbc="T T T"
Tb 0.9372 0.0000 1.6024
Tb 7.0595 0.0000 4.4251
Zn 4.0818 0.0000 0.4784
Zn 3.9983 0.0000 3.0138
Zn 3.9149 0.0000 5.5492
Ga -0.2970 0.0000 4.5225
Ga 8.2937 0.0000 1.5051

=====

Record 2
4
Lattice="1.7706 1.0223 7.7257 -1.7706 1.0223 7.7257 0.0000 -2.0446 7.7257" Properties=species:S:1:pos:R:3 comment="VCuSe2 (PBE-GGA, optimized geometry)" e_form_raw_ev_per_atom=0.251 total_magnetization_mub_per_fu=2.72 n_ef_per_ev_cell=3.41 rho_g_cm3=5.39 dft_energy_ev_per_atom=-4.795 pbc="T T T"
V 0.0000 0.0000 0.0000
Cu 0.0000 0.0000 11.5885
Se 0.0000 0.0000 2.4046
Se 0.0000 0.0000 20.7724

=====

Record 3
5
Lattice="4.5215 0.0000 0.0000 0.0000 4.5215 0.0000 0.0000 0.0000 4.5215" Properties=species:S:1:pos:R:3 comment="MnRh3Pb (PBE-GGA, optimized geometry)" total_magnetization_mub_per_fu=0.00 de_polymorph_mev_per_atom=0.0 n_ef_per_ev_cell=5.51 e_form_ev_per_atom=0.69 rho_g_cm3=10.26 dft_energy_ev_per_atom=-6.297 pbc="T T T"
Mn 0.0000 0.0000 0.0000
Rh 0.0000 0.0000 2.2607
Rh 0.0000 2.2607 0.0000
Rh 2.2607 0.0000 0.0000
Pb 2.2607 2.2607 2.2607

=====

Record 4
10
Lattice="7.8052 0.0000 0.0000 0.0000 7.8052 0.0000 0.0000 0.0000 3.1211" Properties=species:S:1:pos:R:3 comment="Y2Be2Tc (PBE-GGA, optimized geometry)" total_magnetization_mub_per_fu=0.00 de_polymorph_mev_per_atom=464.3 n_ef_per_ev_cell=9.31 e_form_ev_per_atom=0.62 rho_g_cm3=5.13 dft_energy_ev_per_atom=-5.532 pbc="T T T"
Y 1.4820 2.4206 0.0000
Y 2.4206 6.3232 0.0000
Y 5.3846 1.4820 0.0000
Y 6.3232 5.3846 0.0000
Be 0.7553 4.6578 1.5605
Be 3.1473 0.7553 1.5605
Be 4.6578 7.0499 1.5605
Be 7.0499 3.1473 1.5605
Tc 0.0000 0.0000 0.0000
Tc 3.9026 3.9026 0.0000

=====

Record 5
16
Lattice="0.0000 7.6640 12.3027 3.4630 0.0000 12.3027 3.4630 7.6640 0.0000" Properties=species:S:1:pos:R:3 comment="Rb2MnTe4As (PBE-GGA, optimized geometry)" e_form_raw_ev_per_atom=-0.432 total_magnetization_mub_per_fu=4.00 n_ef_per_ev_cell=7.43 rho_g_cm3=4.13 dft_energy_ev_per_atom=-3.972 pbc="T T T"
Rb 2.5972 5.7480 1.3599
Rb 4.3287 9.5800 7.5113
Rb 2.5972 5.7480 17.0941
Rb 4.3287 9.5800 23.2454
Mn 0.8657 1.9160 3.0757
Mn 6.0602 13.4120 21.5297
Te 2.5199 3.5031 4.4263
Te 4.4060 7.3351 10.5777
Te 2.6745 7.9930 4.4263
Te 2.6745 3.5031 14.0276
Te 4.2514 11.8250 10.5777
Te 4.2514 7.3351 20.1790
Te 2.5199 7.9930 14.0276
Te 4.4060 11.8250 20.1790
As 2.5972 5.7480 9.2270
As 4.3287 9.5800 15.3783

=====

Record 6
18
Lattice="1.6382 -6.7825 0.0000 1.6382 6.7825 0.0000 0.0000 0.0000 9.8737" Properties=species:S:1:pos:R:3 comment="Pa2NbAlN5 (PBE-GGA, optimized geometry)" e_form_raw_ev_per_atom=-1.337 total_magnetization_mub_per_fu=0.00 n_ef_per_ev_cell=8.35 rho_g_cm3=9.87 dft_energy_ev_per_atom=-9.607 pbc="T T T"
Pa 1.6382 5.1663 4.9369
Pa 1.6382 4.9596 0.9022
Pa 1.6382 -4.9596 5.8391
Pa 1.6382 -5.1663 0.0000
Nb 1.6382 3.8909 7.9314
Nb 1.6382 -3.8909 2.9946
Al 1.6382 0.1849 2.7522
Al 1.6382 -0.1849 7.6891
N 1.6382 6.0975 8.4025
N 1.6382 2.8568 4.4855
N 1.6382 2.5897 1.5547
N 1.6382 1.7792 7.9906
N 1.6382 0.0609 5.7809
N 1.6382 -0.0609 0.8441
N 1.6382 -1.7792 3.0537
N 1.6382 -2.5897 6.4916
N 1.6382 -2.8568 9.4223
N 1.6382 -6.0975 3.4656

=====

Record 7
8
Lattice="-3.3650 3.3650 2.6931 3.3650 -3.3650 2.6931 3.3650 3.3650 -2.6931" Properties=species:S:1:pos:R:3 comment="BRu2Pb (PBE-GGA, optimized geometry)" total_magnetization_mub_per_fu=0.00 de_polymorph_mev_per_atom=0.0 n_ef_per_ev_cell=12.08 e_form_ev_per_atom=0.34 rho_g_cm3=11.44 dft_energy_ev_per_atom=-6.898 pbc="T T T"
B 0.0000 0.0000 0.0000
B 0.0000 3.3650 1.3465
Ru 5.0476 1.0389 -0.6733
Ru 1.0389 1.6825 0.6733
Ru -1.6825 2.3261 2.0198
Ru 2.3261 1.6825 3.3664
Pb 3.3650 0.0000 1.3465
Pb 0.0000 0.0000 2.6931

=====

Record 8
8
Lattice="4.1297 0.0000 0.0000 -2.0649 3.5764 0.0000 0.0000 0.0000 10.7725" Properties=species:S:1:pos:R:3 comment="BaNi3 (PBE-GGA, optimized geometry)" total_magnetization_mub_per_fu=0.00 n_ef_per_ev_cell=5.36 e_form_ev_per_atom=-0.01 rho_g_cm3=6.54 dft_energy_ev_per_atom=-4.826 pbc="T T T"
Ba 0.0000 2.3843 2.6931
Ba 2.0649 1.1921 8.0794
Ni 0.0000 0.0000 0.0000
Ni 0.0000 0.0000 5.3863
Ni 0.0000 2.3843 5.6367
Ni 0.0000 2.3843 10.5221
Ni 2.0649 1.1921 0.2504
Ni 2.0649 1.1921 5.1359

=====

Record 9
8
Lattice="7.1094 0.0000 0.0000 0.0000 4.1245 0.0000 -2.3400 0.0000 6.7472" Properties=species:S:1:pos:R:3 comment="CaTm2PuAs4 (PBE-GGA, optimized geometry)" total_magnetization_mub_per_fu=4.24 n_ef_per_ev_cell=13.62 e_form_ev_per_atom=-1.24 rho_g_cm3=7.74 dft_energy_ev_per_atom=-6.728 pbc="T T T"
Ca 0.0000 0.0000 0.0000
Tm -1.1700 2.0622 3.3736
Tm 2.3847 0.0000 3.3736
Pu 3.5547 2.0622 0.0000
As 0.0602 0.0000 5.0324
As 1.2480 2.0622 1.7352
As 3.5213 2.0622 5.0120
As 4.7091 0.0000 1.7149

=====

Record 10
5
Lattice="3.3868 -3.3889 0.0000 3.3868 3.3889 0.0000 -3.3660 0.0000 5.5456" Properties=species:S:1:pos:R:3 comment="BaInGa3 (PBE-GGA, optimized geometry)" total_magnetization_mub_per_fu=0.00 de_polymorph_mev_per_atom=0.0 n_ef_per_ev_cell=2.28 e_form_ev_per_atom=-0.40 rho_g_cm3=6.02 dft_energy_ev_per_atom=-3.145 pbc="T T T"
Ba 0.0000 0.0000 0.0000
In 3.3928 0.0000 1.3601
Ga 1.7036 1.6986 2.8771
Ga 0.0145 0.0000 4.1097
Ga 1.7036 -1.6986 2.8771

=====

Record 11
6
Lattice="0.0000 3.6089 3.6089 3.6089 0.0000 3.6089 3.6089 3.6089 0.0000" Properties=species:S:1:pos:R:3 comment="MnAsP4 (PBE-GGA, optimized geometry)" total_magnetization_mub_per_fu=3.57 n_ef_per_ev_cell=4.43 e_form_ev_per_atom=0.69 rho_g_cm3=4.48 dft_energy_ev_per_atom=-5.224 pbc="T T T"
Mn 0.0000 0.0000 0.0000
As 5.4133 5.4133 5.4133
P 2.6850 2.6850 2.6850
P 4.5327 4.5327 2.6850
P 4.5327 2.6850 4.5327
P 2.6850 4.5327 4.5327

=====

Which formula does entry 6 have?
Pa2NbAlN5